# CoIr (GGA-PBE, relaxed)
data_CoIr
_chemical_formula_sum 'Co2 Ir2'
_cell_length_a 2.6803
_cell_length_b 2.6803
_cell_length_c 8.3496
_cell_angle_alpha 90.00
_cell_angle_beta 90.00
_cell_angle_gamma 120.00
_symmetry_space_group_name_H-M 'P 1'
_symmetry_Int_Tables_number 1
loop_
_symmetry_equiv_pos_as_xyz
'x,y,z'
loop_
_atom_site_label
_atom_site_fract_x
_atom_site_fract_y
_atom_site_fract_z
Ir1 0.0000 0.0000 0.4889
Ir2 0.3333 0.6667 0.7611
Co1 0.0000 0.0000 0.0113
Co2 0.3333 0.6667 0.2387
# - Electronic total energy: -31.72 eV/cell
# - Energy of formation: 55 meV/atom